No. 1
{"formula": "PbAu", "functional": "GGA-PBE", "state": "relaxed", "lattice_angstrom": [[3.6419, 0.0000, 0.0000], [-1.8210, 3.1540, 0.0000], [0.0000, 0.0000, 9.0473]], "species": ["Au", "Au", "Pb", "Pb"], "fractional_positions": [[0.6667, 0.3333, 0.2302], [0.0000, 0.0000, 0.0198], [0.0000, 0.0000, 0.4582], [0.6667, 0.3333, 0.7918]], "energy_ev_per_atom": -3.46, "e_form_mev_per_atom": 35}

No. 2
{"formula": "Ce2PrPaS4", "functional": "GGA-PBE", "state": "relaxed", "lattice_angstrom": [[3.9956, 0.0000, 0.0000], [0.0000, 6.9526, 0.1314], [0.0000, -2.4176, 6.5000]], "species": ["S", "S", "S", "S", "Pa", "Pr", "Ce", "Ce"], "fractional_positions": [[0.5000, 0.2573, 0.2501], [0.5000, 0.7427, 0.7499], [0.0000, 0.2575, 0.7545], [0.0000, 0.7425, 0.2455], [0.5000, 0.5000, 0.0000], [0.0000, 0.0000, 0.0000], [0.0000, 0.5000, 0.5000], [0.5000, 0.0000, 0.5000]], "raw_formation_energy_mev_per_atom": -1909.5, "energy_ev_per_atom": -7.24}

No. 3
{"formula": "CaNbGa3", "functional": "GGA-PBE", "state": "relaxed", "lattice_angstrom": [[5.0563, 0.0000, 0.0000], [0.0000, 5.0563, 0.0000], [0.0000, 0.0000, 5.0563]], "species": ["Ca", "Ga", "Ga", "Ga", "Nb"], "fractional_positions": [[0.0000, 0.0000, 0.0000], [0.5000, 0.0000, 0.0000], [0.0000, 0.5000, 0.0000], [0.0000, 0.0000, 0.5000], [0.5000, 0.5000, 0.5000]], "energy_ev_per_atom": -2.82, "e_form_mev_per_atom": 1413, "relative_energy_ev_per_fu": 7.30}

Number 1: M_tot 0.00 Bohr magnetons per cell. Number 2: M_tot 1.36 Bohr magnetons per cell. Number 3: M_tot 0.00 Bohr magnetons per cell.